The following is a PBE-GGA calculation of U6BeC5 after structural relaxation, from the Alexandria database.

Output
DOS(E_F) = 36.5 states/eV/cell
Energy of formation = 0.094 eV/atom
M_tot = 20.4 Bohr magnetons per cell

POSCAR file:
```
U6BeC5
1.0
-2.0854 5.6488 2.0631
-3.2635 -5.2907 1.3684
5.7566 -1.1977 9.0980
Be C U
2 10 12
Cartesian
1.4392 -0.2994 2.2745 Be
4.3175 -0.8983 6.8235 Be
-2.4781 2.0023 1.8316 C
0.0075 -2.2430 6.1490 C
-2.8708 -1.6442 1.6000 C
0.4002 1.4035 6.3806 C
0.8528 1.2888 2.8546 C
0.5216 -1.7870 2.6593 C
-2.4058 -0.0420 4.7413 C
2.8185 3.1623 8.3066 C
1.9715 -4.7015 7.8072 C
2.8136 -0.7976 7.7884 C
-0.5921 3.4287 2.4609 U
-1.3389 -3.5053 2.0206 U
-1.2289 -0.0207 2.4096 U
2.8444 1.3177 6.4576 U
2.4130 -2.6879 6.2032 U
0.2176 -0.5237 7.8773 U
0.0801 -3.8005 4.2632 U
0.8269 3.1334 4.7036 U
0.1902 -0.3159 4.6523 U
3.8320 -2.9831 8.4459 U
4.2634 1.0224 8.7003 U
1.6366 -0.8189 10.1200 U
```

---

The following is a PBE-GGA calculation of MgCrSi2 after structural relaxation, from the Alexandria database.

Output
DOS(E_F) = 1.6 states/eV/cell
M_tot = 1.7 Bohr magnetons per cell

POSCAR file:
```
MgCrSi2
1.0
4.6482 0.0038 0.0000
1.4526 4.4154 0.0000
-3.0504 -2.2096 2.7237
Cr Mg Si
1 1 2
Cartesian
0.7263 2.2077 1.3619 Cr
2.3241 0.0019 1.3619 Mg
0.0000 0.0000 0.0000 Si
3.0504 2.2096 0.0000 Si
```

---

The following is a PBE-GGA calculation of CrTePS2 after structural relaxation, from the Alexandria database.

Output
DOS(E_F) = 4.7 states/eV/cell
M_tot = 0.0 Bohr magnetons per cell
Excess energy over the best structure of this formula in the dataset = 0 meV/atom

POSCAR file:
```
CrTePS2
1.0
4.3544 0.0000 0.0000
0.0000 4.3544 0.0000
0.0000 0.0000 4.9753
Cr S Te P
1 2 1 1
Cartesian
0.0000 0.0000 0.0000 Cr
0.0000 2.1772 0.0000 S
2.1772 0.0000 0.0000 S
2.1772 2.1772 2.4877 Te
0.0000 0.0000 2.4877 P
```

---

The following is a PBE-GGA calculation of ZrP2Au after structural relaxation, from the Alexandria database.

Output
DOS(E_F) = 2.6 states/eV/cell
Energy of formation = -0.267 eV/atom
M_tot = 0.0 Bohr magnetons per cell
Excess energy over the best structure of this formula in the dataset = 270 meV/atom

POSCAR file:
```
ZrP2Au
1.0
-3.0521 -2.9133 4.4820
-4.7660 -3.7476 1.0640
-1.4756 -5.5930 2.1052
Au P Zr
1 2 1
Cartesian
-6.9703 -9.1905 5.7384 Au
-9.2849 -12.2424 7.6440 P
-4.6556 -6.1385 3.8328 P
-2.3234 -3.0635 1.9128 Zr
```

---

The following is a PBE-GGA calculation of TlBiPb3 after structural relaxation, from the Alexandria database.

Output
DOS(E_F) = 3.9 states/eV/cell
Energy of formation = 0.008 eV/atom
M_tot = 0.0 Bohr magnetons per cell
Excess energy over the best structure of this formula in the dataset = 0 meV/atom

POSCAR file:
```
TlBiPb3
1.0
4.8788 0.0000 0.0000
0.0000 7.9721 0.7683
0.0000 -1.0075 8.0966
Tl Bi Pb
2 2 6
Cartesian
1.2197 1.7255 2.2371 Tl
3.6591 5.2391 6.6277 Tl
1.2198 6.2766 4.2599 Bi
3.6591 0.6880 4.6049 Bi
3.6592 4.0990 3.2441 Pb
1.2197 2.8656 5.6207 Pb
3.6591 1.7757 7.9336 Pb
1.2197 -0.4687 6.8779 Pb
1.2197 5.1889 0.9312 Pb
3.6592 7.4333 1.9870 Pb
```

---

The following is a PBE-GGA calculation of Ca5OsN6 after structural relaxation, from the Alexandria database.

Output
DOS(E_F) = 1.3 states/eV/cell
M_tot = 0.0 Bohr magnetons per cell

POSCAR file:
```
Ca5OsN6
1.0
-2.5304 -4.7102 2.2829
2.2759 -4.8447 -2.3832
4.6630 -2.5544 2.4432
Ca Os N
5 1 6
Cartesian
2.2340 -4.8659 2.3846 Ca
2.3162 -2.4665 0.0233 Ca
-0.1272 -4.7774 -0.0501 Ca
4.6227 -4.9326 0.0367 Ca
2.1745 -7.2433 -0.0417 Ca
0.0000 0.0000 0.0000 Os
-0.4598 -4.7584 2.3036 N
2.2335 -4.8724 -0.3125 N
-0.0613 -2.0379 -0.0146 N
-0.1932 -7.5169 -0.0857 N
2.1750 -7.2368 2.6555 N
4.8683 -7.3508 0.0393 N
```

---

The following is a PBE-GGA calculation of Li2MnW after structural relaxation, from the Alexandria database.

Output
DOS(E_F) = 3.2 states/eV/cell
Energy of formation = 0.400 eV/atom
M_tot = 0.9 Bohr magnetons per cell
Excess energy over the best structure of this formula in the dataset = 93 meV/atom

POSCAR file:
```
Li2MnW
1.0
5.3718 0.0196 0.0252
4.5980 2.7776 0.0252
1.4858 0.4169 3.7202
Li Mn W
2 1 1
Cartesian
1.5789 0.4430 3.6796 Li
5.6347 1.5809 1.9259 Li
8.5917 2.4106 2.8279 Mn
2.8639 0.8035 0.9426 W
```

---

The following is a PBE-GGA calculation of Cs4Sb2O5 after structural relaxation, from the Alexandria database.

Output
DOS(E_F) = 0.0 states/eV/cell
M_tot = 0.0 Bohr magnetons per cell

POSCAR file:
```
Cs4Sb2O5
1.0
-3.0132 5.6849 1.0468
-4.5430 1.4891 -4.4314
-6.5489 -3.0018 4.1279
Cs Sb O
4 2 5
Cartesian
-7.5712 7.1321 -3.3483 Cs
-3.3012 -1.4864 2.0603 Cs
-3.5131 1.9414 -0.5059 Cs
-10.6371 2.2495 1.2475 Cs
-7.1312 0.5073 1.6028 Sb
-7.0133 3.5590 -0.7674 Sb
-7.9972 1.5920 2.9629 O
-6.2854 2.9834 -2.4727 O
-5.6335 4.7713 -0.1384 O
-8.6512 -0.2016 0.6212 O
-6.4280 1.9225 0.3226 O
```

---

So what do the calculations give for VASP energy? Going down the list: -232.9 -21.7 -25.0 -23.7 -34.7 -77.9 -24.4 -53.0 eV/cell.